TcHSeBr2 | SCAN | single point on PBEsol structure

Lattice parameters (Å, degrees): 5.1948 5.1948 3.4289 90.00 90.00 90.00
Fractional coordinates of all 5 atoms:
Tc1 0.0000 0.0000 0.0000
H1 0.5000 0.5000 0.5000
Se1 0.5000 0.5000 0.0000
Br1 0.0000 0.5000 0.5000
Br2 0.5000 0.0000 0.5000

Computed properties:
energy relative to the lowest polymorph listed for this composition = 7.735 kcal/mol of atoms
theoretical density = 6.06 g/cm³
space-group type = P4/mmm